# SmCdCu (PBE, optimized geometry)
data_SmCdCu
_chemical_formula_sum 'Sm4 Cd4 Cu4'
_cell_length_a 9.996
_cell_length_b 4.404
_cell_length_c 7.195
_cell_angle_alpha 90.00
_cell_angle_beta 122.99
_cell_angle_gamma 90.00
_symmetry_space_group_name_H-M 'C 1 2/m 1'
_symmetry_Int_Tables_number 12
loop_
_symmetry_equiv_pos_as_xyz
'x,y,z'
'-x,-y,-z'
'-x,y,-z'
'x,-y,z'
'x+1/2,y+1/2,z'
'-x+1/2,-y+1/2,-z'
'-x+1/2,y+1/2,-z'
'x+1/2,-y+1/2,z'
loop_
_atom_site_label
_atom_site_type_symbol
_atom_site_fract_x
_atom_site_fract_y
_atom_site_fract_z
Sm1 Sm 0.068 0.000 0.321
Cd1 Cd 0.181 0.500 0.092
Cu1 Cu 0.136 0.500 0.669
# - spin magnetization (μB/atom) = 0.00
# - raw total energy (eV/atom) = -3.51

***

# SmCdCu (PBE, optimized geometry)
data_SmCdCu
_chemical_formula_sum 'Sm4 Cd4 Cu4'
_cell_length_a 6.641
_cell_length_b 6.641
_cell_length_c 6.641
_cell_angle_alpha 90.00
_cell_angle_beta 90.00
_cell_angle_gamma 90.00
_symmetry_space_group_name_H-M 'F -4 3 m'
_symmetry_Int_Tables_number 216
_symmetry_space_group_name_Hall 'F -4 2 3'
loop_
_atom_site_label
_atom_site_type_symbol
_atom_site_fract_x
_atom_site_fract_y
_atom_site_fract_z
Sm1 Sm 0.000 0.000 0.000
Cd1 Cd 0.000 0.000 0.500
Cu1 Cu 0.250 0.250 0.750
# - spin magnetization (μB/atom) = 0.00
# - raw total energy (eV/atom) = -3.38

***

# Sm3Cd2Cu (PBE, optimized geometry)
data_Sm3Cd2Cu
_chemical_formula_sum 'Sm3 Cd2 Cu1'
_cell_length_a 3.666
_cell_length_b 3.666
_cell_length_c 11.565
_cell_angle_alpha 90.00
_cell_angle_beta 90.00
_cell_angle_gamma 90.00
_symmetry_space_group_name_H-M 'P 4/m m m'
_symmetry_Int_Tables_number 123
_symmetry_space_group_name_Hall '-P 4 2'
loop_
_atom_site_label
_atom_site_type_symbol
_atom_site_fract_x
_atom_site_fract_y
_atom_site_fract_z
Sm1 Sm 0.000 0.000 0.000
Sm2 Sm 0.000 0.000 0.354
Cd1 Cd 0.500 0.500 0.175
Cu1 Cu 0.500 0.500 0.500
# - spin magnetization (μB/atom) = 0.02
# - raw total energy (eV/atom) = -3.61

***

# SmCd7Cu5 (PBE, optimized geometry)
data_SmCd7Cu5
_chemical_formula_sum 'Sm2 Cd14 Cu10'
_cell_length_a 5.314
_cell_length_b 9.490
_cell_length_c 9.526
_cell_angle_alpha 90.00
_cell_angle_beta 90.00
_cell_angle_gamma 90.00
_symmetry_space_group_name_H-M 'I m m 2'
_symmetry_Int_Tables_number 44
loop_
_symmetry_equiv_pos_as_xyz
'x,y,z'
'-x,-y,z'
'-x,y,z'
'x,-y,z'
'x+1/2,y+1/2,z+1/2'
'-x+1/2,-y+1/2,z+1/2'
'-x+1/2,y+1/2,z+1/2'
'x+1/2,-y+1/2,z+1/2'
loop_
_atom_site_label
_atom_site_type_symbol
_atom_site_fract_x
_atom_site_fract_y
_atom_site_fract_z
Sm1 Sm 0.000 0.000 0.000
Cd1 Cd 0.000 0.000 0.350
Cd2 Cd 0.000 0.000 0.668
Cd3 Cd 0.000 0.295 0.514
Cd4 Cd 0.000 0.344 0.024
Cd5 Cd 0.000 0.500 0.736
Cu1 Cu 0.000 0.500 0.296
Cu2 Cu 0.249 0.239 0.769
# - spin magnetization (μB/atom) = 0.00
# - raw total energy (eV/atom) = -2.51

***

# Sm3CdCu8 (PBE, optimized geometry)
data_Sm3CdCu8
_chemical_formula_sum 'Sm3 Cd1 Cu8'
_cell_length_a 5.2573
_cell_length_b 5.2573
_cell_length_c 8.5505
_cell_angle_alpha 90.00
_cell_angle_beta 90.00
_cell_angle_gamma 120.00
_symmetry_space_group_name_H-M 'P 3 m 1'
_symmetry_Int_Tables_number 156
loop_
_symmetry_equiv_pos_as_xyz
'x,y,z'
'-y,x-y,z'
'-x+y,-x,z'
'-y,-x,z'
'-x+y,y,z'
'x,x-y,z'
loop_
_atom_site_label
_atom_site_type_symbol
_atom_site_fract_x
_atom_site_fract_y
_atom_site_fract_z
Sm1 Sm 0.0000 0.0000 0.0000
Sm2 Sm 0.0000 0.0000 0.3874
Sm3 Sm 0.3333 0.6667 0.8549
Cd1 Cd 0.3333 0.6667 0.4862
Cu1 Cu 0.9997 0.4999 0.1864
Cu2 Cu 0.3382 0.1691 0.6841
Cu3 Cu 0.6667 0.3333 0.4385
Cu4 Cu 0.6667 0.3333 0.9390
# - spin magnetization (μB/atom) = 0.00
# - raw total energy (eV/atom) = -4.16

***

# SmCd6Cu6 (PBE, optimized geometry)
data_SmCd6Cu6
_chemical_formula_sum 'Sm2 Cd12 Cu12'
_cell_length_a 5.220
_cell_length_b 9.367
_cell_length_c 9.394
_cell_angle_alpha 90.00
_cell_angle_beta 90.00
_cell_angle_gamma 90.00
_symmetry_space_group_name_H-M 'I m m m'
_symmetry_Int_Tables_number 71
_symmetry_space_group_name_Hall '-I 2 2'
loop_
_atom_site_label
_atom_site_type_symbol
_atom_site_fract_x
_atom_site_fract_y
_atom_site_fract_z
Sm1 Sm 0.000 0.000 0.000
Cd1 Cd 0.000 0.000 0.339
Cd2 Cd 0.000 0.308 0.500
Cd3 Cd 0.000 0.347 0.000
Cu1 Cu 0.000 0.500 0.274
Cu2 Cu 0.250 0.250 0.250
# - spin magnetization (μB/atom) = 0.00
# - raw total energy (eV/atom) = -2.75

***

# SmCd3Cu8 (PBE, optimized geometry)
data_SmCd3Cu8
_chemical_formula_sum 'Sm1 Cd3 Cu8'
_cell_length_a 5.1235
_cell_length_b 5.1235
_cell_length_c 8.2383
_cell_angle_alpha 90.00
_cell_angle_beta 90.00
_cell_angle_gamma 120.00
_symmetry_space_group_name_H-M 'P 3 m 1'
_symmetry_Int_Tables_number 156
loop_
_symmetry_equiv_pos_as_xyz
'x,y,z'
'-y,x-y,z'
'-x+y,-x,z'
'-y,-x,z'
'-x+y,y,z'
'x,x-y,z'
loop_
_atom_site_label
_atom_site_type_symbol
_atom_site_fract_x
_atom_site_fract_y
_atom_site_fract_z
Sm1 Sm 0.0000 0.0000 0.0000
Cd1 Cd 0.0000 0.0000 0.3893
Cd2 Cd 0.6667 0.3333 0.4935
Cd3 Cd 0.6667 0.3333 0.8575
Cu1 Cu 0.1669 0.3338 0.6828
Cu2 Cu 0.3333 0.6667 0.4325
Cu3 Cu 0.3333 0.6667 0.9361
Cu4 Cu 0.5024 0.0048 0.1908
# - polymorph energy (0 for the lowest one) (kJ per mole of atoms) = 0.84
# - spin magnetization (μB/atom) = 0.00

***

# Sm4CdCu3 (PBE, optimized geometry)
data_Sm4CdCu3
_chemical_formula_sum 'Sm4 Cd1 Cu3'
_cell_length_a 3.613
_cell_length_b 5.159
_cell_length_c 10.192
_cell_angle_alpha 90.00
_cell_angle_beta 90.00
_cell_angle_gamma 90.00
_symmetry_space_group_name_H-M 'P m m m'
_symmetry_Int_Tables_number 47
loop_
_symmetry_equiv_pos_as_xyz
'x,y,z'
'-x,-y,-z'
'-x,-y,z'
'x,y,-z'
'x,-y,-z'
'-x,y,z'
'-x,y,-z'
'x,-y,z'
loop_
_atom_site_label
_atom_site_type_symbol
_atom_site_fract_x
_atom_site_fract_y
_atom_site_fract_z
Sm1 Sm 0.000 0.000 0.000
Sm2 Sm 0.000 0.000 0.500
Sm3 Sm 0.000 0.500 0.235
Cd1 Cd 0.500 0.500 0.500
Cu1 Cu 0.500 0.000 0.253
Cu2 Cu 0.500 0.500 0.000
# - spin magnetization (μB/atom) = 0.00
# - raw total energy (eV/atom) = -4.20

***

# SmCd10Cu2 (PBE, optimized geometry)
data_SmCd10Cu2
_chemical_formula_sum 'Sm4 Cd40 Cu8'
_cell_length_a 5.488
_cell_length_b 14.059
_cell_length_c 14.213
_cell_angle_alpha 90.00
_cell_angle_beta 90.00
_cell_angle_gamma 90.00
_symmetry_space_group_name_H-M 'F m m m'
_symmetry_Int_Tables_number 69
_symmetry_space_group_name_Hall '-F 2 2'
loop_
_atom_site_label
_atom_site_type_symbol
_atom_site_fract_x
_atom_site_fract_y
_atom_site_fract_z
Sm1 Sm 0.000 0.000 0.000
Cd1 Cd 0.000 0.111 0.399
Cd2 Cd 0.000 0.181 0.164
Cd3 Cd 0.250 0.000 0.250
Cu1 Cu 0.250 0.250 0.000
# - spin magnetization (μB/atom) = 0.00
# - raw total energy (eV/atom) = -1.79

***

# SmCdCu (PBE, optimized geometry)
data_SmCdCu
_chemical_formula_sum 'Sm3 Cd3 Cu3'
_cell_length_a 7.6910
_cell_length_b 7.6910
_cell_length_c 3.8711
_cell_angle_alpha 90.00
_cell_angle_beta 90.00
_cell_angle_gamma 120.00
_symmetry_space_group_name_H-M 'P -6 2 m'
_symmetry_Int_Tables_number 189
_symmetry_space_group_name_Hall 'P -6 -2'
loop_
_atom_site_label
_atom_site_type_symbol
_atom_site_fract_x
_atom_site_fract_y
_atom_site_fract_z
Sm1 Sm 0.0000 0.5899 0.0000
Cd1 Cd 0.0000 0.2521 0.5000
Cu1 Cu 0.0000 0.0000 0.0000
Cu2 Cu 0.3333 0.6667 0.5000
# - spin magnetization (μB/atom) = 0.00
# - raw total energy (eV/atom) = -3.52

***

# SmCd2Cu6 (PBE, optimized geometry)
data_SmCd2Cu6
_chemical_formula_sum 'Sm2 Cd4 Cu12'
_cell_length_a 3.694
_cell_length_b 6.794
_cell_length_c 12.559
_cell_angle_alpha 90.00
_cell_angle_beta 90.00
_cell_angle_gamma 90.00
_symmetry_space_group_name_H-M 'I m m m'
_symmetry_Int_Tables_number 71
_symmetry_space_group_name_Hall '-I 2 2'
loop_
_atom_site_label
_atom_site_type_symbol
_atom_site_fract_x
_atom_site_fract_y
_atom_site_fract_z
Sm1 Sm 0.000 0.000 0.000
Cd1 Cd 0.000 0.500 0.134
Cu1 Cu 0.000 0.178 0.500
Cu2 Cu 0.000 0.310 0.319
# - spin magnetization (μB/atom) = 0.00
# - raw total energy (eV/atom) = -3.40

***

# SmCdCu (PBE, optimized geometry)
data_SmCdCu
_chemical_formula_sum 'Sm2 Cd2 Cu2'
_cell_length_a 3.435
_cell_length_b 3.435
_cell_length_c 11.180
_cell_angle_alpha 90.00
_cell_angle_beta 90.00
_cell_angle_gamma 90.00
_symmetry_space_group_name_H-M 'I 4 m m'
_symmetry_Int_Tables_number 107
_symmetry_space_group_name_Hall 'I 4 -2'
loop_
_atom_site_label
_atom_site_type_symbol
_atom_site_fract_x
_atom_site_fract_y
_atom_site_fract_z
Sm1 Sm 0.000 0.000 0.000
Cd1 Cd 0.000 0.000 0.706
Cu1 Cu 0.000 0.000 0.333
# - spin magnetization (μB/atom) = 0.00
# - raw total energy (eV/atom) = -3.37